1.
YPu6Te8 | the Alexandria database | GGA-PBE | optimized geometry; VASP energy = -8.99 eV/atom; energy relative to the elements, uncorrected = -1148 meV per atom
1.0
-3.549 -1.343 8.005
3.868 3.433 7.193
-3.847 6.708 4.323
Pu Te Y
6 8 1
Direct
0.000 0.000 0.500
0.000 0.500 0.500
0.500 0.000 0.000
0.500 0.500 0.000
0.500 0.000 0.500
0.000 0.500 0.000
0.750 0.250 0.250
0.250 0.250 0.250
0.750 0.250 0.750
0.250 0.250 0.750
0.250 0.750 0.750
0.750 0.750 0.750
0.250 0.750 0.250
0.750 0.750 0.250
0.000 0.000 0.000


2.
Y3PuTe6 | the Alexandria database | GGA-PBE | optimized geometry; VASP energy = -6.55 eV/atom; energy relative to the elements, uncorrected = -1291 meV per atom
1.0
-0.804 4.161 -1.065
2.339 -2.621 -12.004
-12.451 -1.794 2.394
Pu Te Y
2 12 6
Direct
0.250 0.955 0.306
0.750 0.045 0.694
0.750 0.393 0.062
0.250 0.607 0.938
0.750 0.114 0.464
0.250 0.084 0.899
0.250 0.886 0.536
0.750 0.806 0.750
0.250 0.253 0.721
0.250 0.517 0.381
0.750 0.916 0.101
0.750 0.483 0.619
0.250 0.194 0.250
0.750 0.747 0.279
0.250 0.846 0.921
0.250 0.318 0.498
0.750 0.682 0.502
0.750 0.432 0.835
0.750 0.154 0.079
0.250 0.568 0.165


3.
Y4PuTe5 | the Alexandria database | GGA-PBE | optimized geometry; VASP energy = -6.87 eV/atom; energy relative to the elements, uncorrected = -1284 meV per atom
1.0
-2.981 4.021 3.645
1.510 -0.809 7.386
3.782 6.455 1.232
Te Y Pu
5 4 1
Direct
0.502 0.000 0.000
0.698 0.204 0.402
0.304 0.796 0.598
0.100 0.598 0.204
0.902 0.402 0.796
0.601 0.603 0.197
0.204 0.197 0.397
0.401 0.397 0.803
0.798 0.803 0.603
0.002 0.000 0.000


4.
YPuTe2 | the Alexandria database | GGA-PBE | optimized geometry; VASP energy = -7.96 eV/atom; energy relative to the lowest polymorph listed for this composition = 43 meV per atom; energy relative to the elements, uncorrected = -1187 meV per atom
1.0
-2.285 -3.297 -1.501
3.877 -0.675 1.691
-6.317 -1.874 13.737
Te Pu Y
4 2 2
Direct
0.333 0.667 0.120
0.333 0.667 0.380
0.667 0.333 0.880
0.667 0.333 0.620
0.667 0.333 0.250
0.333 0.667 0.750
0.000 0.000 0.500
0.000 0.000 0.000


5.
Pu2ZnTe | the Alexandria database | GGA-PBE | optimized geometry; VASP energy = -8.71 eV/atom; energy relative to the lowest polymorph listed for this composition = 0 meV per atom; energy relative to the elements, uncorrected = -443 meV per atom
1.0
4.046 0.000 0.000
0.000 4.968 0.000
0.000 0.000 4.968
Pu Zn Te
2 1 1
Direct
0.000 0.000 0.500
0.000 0.500 0.000
0.500 0.500 0.500
0.500 0.000 0.000


6.
Pu2ZnTe | the Alexandria database | GGA-PBE | optimized geometry; VASP energy = -8.65 eV/atom; energy relative to the lowest polymorph listed for this composition = 67 meV per atom; energy relative to the elements, uncorrected = -376 meV per atom
1.0
-1.010 1.026 5.033
-2.482 -3.544 2.946
2.594 -2.554 3.763
Te Pu Zn
1 2 1
Direct
0.500 0.500 0.500
0.250 0.250 0.250
0.750 0.750 0.750
0.000 0.000 0.000


7.
PuZrTe3 | the Alexandria database | GGA-PBE | optimized geometry; VASP energy = -7.38 eV/atom; energy relative to the lowest polymorph listed for this composition = 9 meV per atom; energy relative to the elements, uncorrected = -916 meV per atom
1.0
4.076 0.000 0.000
0.000 9.365 0.000
0.000 0.000 15.416
Te Pu Zr
12 4 4
Direct
0.750 0.152 0.305
0.750 0.986 0.877
0.250 0.514 0.377
0.750 0.843 0.461
0.250 0.014 0.123
0.250 0.848 0.695
0.250 0.348 0.805
0.750 0.486 0.623
0.250 0.657 0.961
0.750 0.652 0.195
0.750 0.343 0.039
0.250 0.157 0.539
0.750 0.649 0.802
0.250 0.851 0.302
0.250 0.351 0.198
0.750 0.149 0.698
0.750 0.836 0.040
0.750 0.336 0.460
0.250 0.164 0.960
0.250 0.664 0.540


8.
PuZrTe3 | the Alexandria database | GGA-PBE | optimized geometry; VASP energy = -7.39 eV/atom; energy relative to the lowest polymorph listed for this composition = 0 meV per atom; energy relative to the elements, uncorrected = -926 meV per atom
1.0
6.287 0.000 0.000
0.000 7.695 0.089
0.000 -0.139 12.207
Te Pu Zr
12 4 4
Direct
0.750 0.932 0.752
0.750 0.412 0.898
0.250 0.568 0.752
0.750 0.432 0.248
0.500 0.750 0.459
0.250 0.068 0.248
0.750 0.912 0.102
0.250 0.088 0.898
0.000 0.750 0.459
0.000 0.250 0.541
0.500 0.250 0.541
0.250 0.588 0.102
0.750 0.560 0.653
0.250 0.440 0.347
0.250 0.940 0.652
0.750 0.060 0.348
0.000 0.250 0.078
0.500 0.750 0.922
0.500 0.250 0.078
0.000 0.750 0.922


9.
PuZrTe | the Alexandria database | GGA-PBE | optimized geometry; VASP energy = -8.89 eV/atom; energy relative to the lowest polymorph listed for this composition = 22 meV per atom; energy relative to the elements, uncorrected = -220 meV per atom
1.0
3.510 0.000 0.000
0.000 3.510 0.000
0.000 0.000 11.283
Zr Pu Te
2 2 2
Direct
0.000 0.500 0.233
0.500 0.000 0.767
0.000 0.500 0.957
0.500 0.000 0.043
0.500 0.000 0.364
0.000 0.500 0.636


10.
PuZrTe | the Alexandria database | GGA-PBE | optimized geometry; VASP energy = -8.92 eV/atom; energy relative to the lowest polymorph listed for this composition = 0 meV per atom; energy relative to the elements, uncorrected = -242 meV per atom
1.0
3.668 0.000 0.000
0.000 4.962 0.000
0.000 -2.481 4.297
Pu Te Zr
1 1 1
Direct
0.667 0.667 0.333
0.166 0.000 0.000
0.167 0.333 0.667


11.
Pu3Th | the Alexandria database | GGA-PBE | optimized geometry; VASP energy = -12.38 eV/atom; energy relative to the lowest polymorph listed for this composition = 0 meV per atom; calculated formation energy = 0.221 eV/atom
1.0
-3.073 -2.058 1.053
2.918 -3.151 2.357
-0.428 2.881 4.381
Pu Th
3 1
Direct
0.500 0.000 0.460
0.000 0.500 0.458
0.500 0.500 0.765
0.000 0.000 0.983


12.
Pu3Th | the Alexandria database | GGA-PBE | optimized geometry; VASP energy = -12.33 eV/atom; energy relative to the lowest polymorph listed for this composition = 58 meV per atom; calculated formation energy = 0.279 eV/atom
1.0
3.450 -5.975 0.000
3.450 5.975 0.000
0.000 0.000 5.414
Pu Th
6 2
Direct
0.164 0.836 0.250
0.836 0.164 0.750
0.328 0.164 0.750
0.836 0.672 0.750
0.672 0.836 0.250
0.164 0.328 0.250
0.333 0.667 0.750
0.667 0.333 0.250


no.,volume (Å³/cell)
1,491.7
2,660.2
3,296.6
4,242.1
5,99.9
6,101.5
7,588.5
8,590.6
9,139.0
10,78.2
11,99.1
12,223.2